No. 1
K7Ag: optimized geometry, PBE.

```
K7Ag
1.0
0.0000 6.2302 6.2302
6.2302 0.0000 6.2302
6.2302 6.2302 0.0000
K Ag
7 1
direct
0.0000 0.0000 0.0000
0.0000 0.0000 0.5000
0.0000 0.5000 0.0000
0.0000 0.5000 0.5000
0.5000 0.0000 0.0000
0.5000 0.0000 0.5000
0.5000 0.5000 0.0000
0.5000 0.5000 0.5000
```

Computed properties:
Energy of formation, eV/atom: 0.1003
Energy, eV per atom: -1.216
Size of the total moment, μB/cell: 0.0

No. 2
KAg: optimized geometry, PBE.

```
KAg
1.0
5.6802 0.0000 0.0000
-2.8401 4.9192 0.0000
0.0000 0.0000 5.4380
K Ag
2 2
direct
0.3333 0.6667 0.2500
0.6667 0.3333 0.7500
0.0000 0.0000 0.0000
0.0000 0.0000 0.5000
```

Computed properties:
Energy of formation, eV/atom: 0.0355
Energy, eV per atom: -1.939
Size of the total moment, μB/cell: 0.0
E above lowest polymorph, eV/atom: 0.021

No. 3
KAg: optimized geometry, PBE.

```
KAg
1.0
6.0627 0.0000 0.0000
0.0000 9.6391 0.0000
0.0000 0.0000 9.6141
K Ag
8 8
direct
0.0000 0.0000 0.0000
0.0000 0.0000 0.5000
0.0000 0.3002 0.2500
0.0000 0.6998 0.7500
0.5000 0.1998 0.7500
0.5000 0.5000 0.0000
0.5000 0.5000 0.5000
0.5000 0.8002 0.2500
0.0000 0.3810 0.6033
0.0000 0.3810 0.8967
0.0000 0.6190 0.1033
0.0000 0.6190 0.3967
0.5000 0.1190 0.1033
0.5000 0.1190 0.3967
0.5000 0.8810 0.6033
0.5000 0.8810 0.8967
```

Computed properties:
Energy of formation, eV/atom: 0.0765
Energy, eV per atom: -1.898
Size of the total moment, μB/cell: 0.0
E above lowest polymorph, eV/atom: 0.062

No. 4
KAg: optimized geometry, PBE.

```
KAg
1.0
0.0000 4.9249 8.6043
3.0852 0.0000 8.6043
3.0852 4.9249 0.0000
K Ag
4 4
direct
0.0435 0.7065 0.0435
0.2935 0.9565 0.2935
0.7065 0.0435 0.7065
0.9565 0.2935 0.9565
0.2929 0.2929 0.4571
0.4571 0.4571 0.2929
0.5429 0.5429 0.7071
0.7071 0.7071 0.5429
```

Computed properties:
Energy of formation, eV/atom: 0.0946
Energy, eV per atom: -1.880
Size of the total moment, μB/cell: 0.0
E above lowest polymorph, eV/atom: 0.080

No. 5
KAg: optimized geometry, PBE.

```
KAg
1.0
4.8630 0.0000 0.0000
-2.4315 4.2115 0.0000
0.0000 0.0000 24.1796
K Ag
6 6
direct
0.0000 0.0000 0.0877
0.0000 0.0000 0.9123
0.3333 0.6667 0.5790
0.3333 0.6667 0.7544
0.6667 0.3333 0.2456
0.6667 0.3333 0.4210
0.0000 0.0000 0.3332
0.0000 0.0000 0.6668
0.3333 0.6667 0.9999
0.3333 0.6667 0.3335
0.6667 0.3333 0.0001
0.6667 0.3333 0.6665
```

Computed properties:
Energy of formation, eV/atom: 0.0145
Energy, eV per atom: -1.960
Size of the total moment, μB/cell: 0.0
E above lowest polymorph, eV/atom: 0.000

No. 6
KAg2: optimized geometry, PBE.

```
KAg2
1.0
7.6969 0.0000 0.0000
0.0000 7.6969 0.0000
0.0000 0.0000 7.6969
K Ag
4 8
direct
0.0000 0.0000 0.0000
0.0000 0.5000 0.5000
0.5000 0.0000 0.5000
0.5000 0.5000 0.0000
0.1001 0.6001 0.8999
0.1001 0.8999 0.3999
0.3999 0.1001 0.8999
0.3999 0.3999 0.3999
0.6001 0.6001 0.6001
0.6001 0.8999 0.1001
0.8999 0.1001 0.6001
0.8999 0.3999 0.1001
```

Computed properties:
Energy of formation, eV/atom: 0.5764
Energy, eV per atom: -1.690
Size of the total moment, μB/cell: 0.0